The following is a PBE calculation of a geometry-optimized TbPmMg structure, from OQMD via LeMat-Bulk.

a = 7.4766 Å, b = 7.4766 Å, c = 7.4766 Å
α = 90.00°, β = 90.00°, γ = 90.00°
With the nearest neighbours (Å) after each atom.
Space group F-43m (No. 216)
One atom of each set of equivalent atoms:
Tb 0.0000 0.0000 0.0000 x4  4 Mg 3.24
Pm 0.0000 0.0000 0.5000 x4  4 Mg 3.24
Mg 0.2500 0.2500 0.7500 x4  4 Tb 3.24, 4 Pm 3.24

- E_tot (Ha/atom) = -0.11908
- energy above the most stable polymorph in this dataset (eV/atom) = 0.000
- V (Å³/f.u.) = 104.48



The following is a PBE calculation of a geometry-optimized ErH3 structure, from OQMD via LeMat-Bulk.

a = 6.1918 Å, b = 6.4200 Å, c = 3.5904 Å
α = 90.00°, β = 90.00°, γ = 90.00°
With the nearest neighbours (Å) after each atom.
Space group Pnma (No. 62)
One atom of each set of equivalent atoms:
Er 0.1657 0.2500 0.0004 x4  11 H 2.07-2.30
H 0.0000 0.2500 0.5005 x4  3 Er 2.07, 6 H 2.29-2.31
H 0.1673 0.5939 0.0013 x8  1 H 2.00, 1 Er 2.21

- E_tot (Ha/atom) = -0.15712
- energy above the most stable polymorph in this dataset (eV/atom) = 0.000
- V (Å³/f.u.) = 35.68



The following is a PBE calculation of a geometry-optimized RbAuNO structure, from OQMD via LeMat-Bulk.

a = 4.0078 Å, b = 5.4644 Å, c = 6.7950 Å
α = 90.00°, β = 90.00°, γ = 90.00°
With the nearest neighbours (Å) after each atom.
Space group Pmc2_1 (No. 26)
One atom of each set of equivalent atoms:
Rb 0.0000 0.0650 0.0000 x2  2 O 2.76-2.80, 2 N 2.98
Au 0.5000 0.4722 0.6429 x2  2 N 2.00, 2 O 2.08
N 0.5000 0.3090 0.3795 x2  2 Au 2.00
O 0.0000 0.3903 0.6889 x2  2 Au 2.08

- E_tot (Ha/atom) = -0.14825
- energy above the most stable polymorph in this dataset (eV/atom) = 0.000
- V (Å³/f.u.) = 74.41



The following is a PBE calculation of a geometry-optimized TbTlAu3Se4 structure, from OQMD via LeMat-Bulk.

a = 6.4043 Å, b = 6.4043 Å, c = 6.4043 Å
α = 90.00°, β = 90.00°, γ = 90.00°
With the nearest neighbours (Å) after each atom.
Space group P-43m (No. 215)
One atom of each set of equivalent atoms:
Tb 0.0000 0.0000 0.0000 x1  4 Se 2.71
Tl 0.5000 0.5000 0.5000 x1  4 Se 2.84
Au 0.0000 0.0000 0.5000 x3  4 Se 2.75
Se 0.2441 0.2441 0.7559 x4  1 Tb 2.71, 3 Au 2.75, 1 Tl 2.84

- E_tot (Ha/atom) = -0.14081
- energy above the most stable polymorph in this dataset (eV/atom) = 0.073
- V (Å³/f.u.) = 262.67



The following is a PBE calculation of a geometry-optimized Nb8Si2C3N3 structure, from OQMD via LeMat-Bulk.

a = 3.1766 Å, b = 3.1766 Å, c = 22.9679 Å
α = 90.00°, β = 90.00°, γ = 120.00°
With the nearest neighbours (Å) after each atom.
Space group P-3m1 (No. 164)
One atom of each set of equivalent atoms:
Nb 0.0000 0.0000 0.1642 x2  3 N 2.20
Nb 0.0000 0.0000 0.3344 x2  3 C 2.18
Nb 0.3333 0.6667 0.5582 x2  6 C 2.24-2.27
Nb 0.3333 0.6667 0.9439 x2  6 N 2.23-2.24
Si 0.3333 0.6667 0.7519 x2  6 Nb 2.66-2.70
C 0.0000 0.0000 0.5000 x1  6 Nb 2.27
C 0.3333 0.6667 0.3860 x2  6 Nb 2.18-2.24
N 0.0000 0.0000 0.0000 x1  6 Nb 2.24
N 0.3333 0.6667 0.1111 x2  6 Nb 2.20-2.23

- E_tot (Ha/atom) = -0.35408
- V (Å³/f.u.) = 200.72



The following is a PBE calculation of a geometry-optimized ZrBe8 structure, from OQMD via LeMat-Bulk.

a = 7.9539 Å, b = 7.9539 Å, c = 2.2480 Å
α = 90.00°, β = 90.00°, γ = 120.00°
With the nearest neighbours (Å) after each atom.
Space group P6/mmm (No. 191)
One atom of each set of equivalent atoms:
Zr 0.0000 0.0000 0.0000 x1  2 Zr 2.25
Be 0.1772 0.3544 0.5000 x6  3 Be 2.15-2.25
Be 0.3333 0.6667 0.5000 x2  5 Be 2.15-2.25

- E_tot (Ha/atom) = -0.12660
- V (Å³/f.u.) = 123.17